Entry 1:
This record from the Alexandria database describes crystalline KAlZn at its relaxed geometry. The functional is PBEsol.

Properties
Symmetry: F-43m
Formation enthalpy at 0 K in eV per atom: 0.945
E in eV/atom: -1.32
Density in Mg/m³: 2.194
Magnetic moment in μB/atom: 0.000

Cell and atoms, written as extended XYZ:
```
3
Lattice="5.201 0.000 0.000 2.601 4.505 0.000 2.601 1.502 4.247" Properties=species:S:1:pos:R:3 pbc="T T T"
Al 5.201 3.003 2.123
Zn 0.000 0.000 0.000
K 7.802 4.505 3.185
```



Entry 2:
This record from the Alexandria database describes crystalline K2Al2Zn at its relaxed geometry. The functional is PBEsol.

Properties
Symmetry: P4/mbm
Formation enthalpy at 0 K in eV per atom: 0.271
E in eV/atom: -2.14
Density in Mg/m³: 2.407
Magnetic moment in μB/atom: 0.000

Cell and atoms, written as extended XYZ:
```
10
Lattice="5.883 0.000 0.000 0.000 6.807 0.000 0.000 0.000 6.807" Properties=species:S:1:pos:R:3 pbc="T T T"
K 2.941 1.240 4.644
K 2.941 5.567 2.163
Al 0.000 0.937 2.466
K 2.941 2.163 1.240
Zn 0.000 3.404 3.404
Zn 0.000 0.000 0.000
Al 0.000 4.341 0.937
K 2.941 4.644 5.567
Al 0.000 2.466 5.870
Al 0.000 5.870 4.341
```



Entry 3:
This record from the Alexandria database describes crystalline K2AlZn at its relaxed geometry. The functional is PBEsol.

Properties
Symmetry: I-4m2
Formation enthalpy at 0 K in eV per atom: 0.373
E in eV/atom: -1.61
Density in Mg/m³: 2.533
Magnetic moment in μB/atom: 0.002

Cell and atoms, written as extended XYZ:
```
4
Lattice="-1.250 -2.524 -4.595 5.189 0.516 1.466 2.771 -4.328 1.624" Properties=species:S:1:pos:R:3 pbc="T T T"
K 2.975 -1.455 -0.010
Zn 0.760 -3.426 -1.485
K 0.000 0.000 0.000
Al 3.735 -4.881 -1.495
```



Entry 4:
This record from the Alexandria database describes crystalline KZr2Al at its relaxed geometry. The functional is PBEsol.

Properties
Symmetry: P4/mmm
Formation enthalpy at 0 K in eV per atom: 0.207
E in eV/atom: -5.64
Density in Mg/m³: 4.140
Magnetic moment in μB/atom: 0.000

Cell and atoms, written as extended XYZ:
```
4
Lattice="3.044 0.000 0.000 0.000 3.044 0.000 0.000 0.000 10.759" Properties=species:S:1:pos:R:3 pbc="T T T"
Al 1.522 1.522 0.000
K 1.522 1.522 5.380
Zr 0.000 0.000 8.810
Zr 0.000 0.000 1.949
```



Question: What is the E in the first record?
Answer: -1.32 eV/atom



Question: Among the records above, which one has the highest formation enthalpy at 0 K?
Answer: KAlZn



Question: What is the E in the fourth record?
Answer: -5.64 eV/atom



Please write out number 3 again, unchanged.
This record from the Alexandria database describes crystalline K2AlZn at its relaxed geometry. The functional is PBEsol.

Properties
Symmetry: I-4m2
Formation enthalpy at 0 K in eV per atom: 0.373
E in eV/atom: -1.61
Density in Mg/m³: 2.533
Magnetic moment in μB/atom: 0.002

Cell and atoms, written as extended XYZ:
```
4
Lattice="-1.250 -2.524 -4.595 5.189 0.516 1.466 2.771 -4.328 1.624" Properties=species:S:1:pos:R:3 pbc="T T T"
K 2.975 -1.455 -0.010
Zn 0.760 -3.426 -1.485
K 0.000 0.000 0.000
Al 3.735 -4.881 -1.495
```